VASP calculation (PBE-GGA) on an optimized crystal structure of AcSb3Rh5. Values from VASP.

Computed properties:
The density of states at the Fermi level comes out at 8.66 states/eV/cell. For the volume, the calculation gives 20.61 A^3/atom. The space group is No. 63. As for the energy relative to the elements, uncorrected: -13.40 kcal/mol of atoms. The value obtained for the size of the total moment is 0.00 μB/cell.

Cell and atoms, written as Quantum ESPRESSO input:
```
&SYSTEM
  ibrav = 0, nat = 18, ntyp = 3
/
ATOMIC_SPECIES
Ac 227.00 Ac.upf
Sb 121.76 Sb.upf
Rh 102.91 Rh.upf
ATOMIC_POSITIONS angstrom
Ac 2.110 4.068 9.886
Ac 2.110 -4.068 3.295
Sb 2.110 5.516 3.295
Sb 2.110 1.603 0.584
Sb 2.110 1.603 6.006
Sb 2.110 -1.603 7.175
Sb 2.110 -1.603 12.597
Sb 2.110 -5.516 9.886
Rh 0.000 0.000 0.000
Rh 0.000 0.000 6.591
Rh 2.110 4.091 0.988
Rh 2.110 4.091 5.602
Rh 2.110 0.710 8.427
Rh 2.110 0.710 11.345
Rh 2.110 -0.710 1.836
Rh 2.110 -0.710 4.754
Rh 2.110 -4.091 7.579
Rh 2.110 -4.091 12.193
CELL_PARAMETERS angstrom
2.110 -6.670 0.000
2.110 6.670 0.000
0.000 0.000 13.181
```

---

VASP calculation (PBE-GGA) on an optimized crystal structure of Tm2ZnCr. Values from VASP.

Computed properties:
The density of states at the Fermi level comes out at 1.67 states/eV/cell. As for the formation energy from the elements: -0.004 eV/atom. For the volume, the calculation gives 21.76 A^3/atom. The space group is No. 225. The value obtained for the size of the total moment is 3.47 μB/cell. As for the energy above the most stable polymorph in this dataset: 0.000 eV per atom.

Cell and atoms, written as Quantum ESPRESSO input:
```
&SYSTEM
  ibrav = 0, nat = 4, ntyp = 3
/
ATOMIC_SPECIES
Tm 168.93 Tm.upf
Zn 65.41 Zn.upf
Cr 52.00 Cr.upf
ATOMIC_POSITIONS angstrom
Tm 1.759 1.759 1.759
Tm 5.276 5.276 5.276
Zn 0.000 0.000 0.000
Cr 3.517 3.517 3.517
CELL_PARAMETERS angstrom
0.000 3.517 3.517
3.517 0.000 3.517
3.517 3.517 0.000
```

---

VASP calculation (PBE-GGA) on an optimized crystal structure of PdI3O. Values from VASP.

Computed properties:
The density of states at the Fermi level comes out at 19.15 states/eV/cell. For the volume, the calculation gives 31.81 A^3/atom. The space group is No. 221. As for the energy relative to the elements, uncorrected: 18.25 kcal/mol of atoms. The value obtained for the size of the total moment is 0.00 μB/cell. As for the energy above the most stable polymorph in this dataset: 0.104 eV per atom.

Cell and atoms, written as Quantum ESPRESSO input:
```
&SYSTEM
  ibrav = 0, nat = 5, ntyp = 3
/
ATOMIC_SPECIES
Pd 106.42 Pd.upf
I 126.90 I.upf
O 16.00 O.upf
ATOMIC_POSITIONS angstrom
Pd 0.000 0.000 0.000
I 0.000 0.000 2.709
I 0.000 2.709 0.000
I 2.709 0.000 0.000
O 2.709 2.709 2.709
CELL_PARAMETERS angstrom
5.418 0.000 0.000
0.000 5.418 0.000
0.000 0.000 5.418
```

---

VASP calculation (PBE-GGA) on an optimized crystal structure of SmTlI. Values from VASP.

Computed properties:
The density of states at the Fermi level comes out at 0.01 states/eV/cell. For the volume, the calculation gives 37.28 A^3/atom. The space group is No. 12. As for the energy relative to the elements, uncorrected: -18.18 kcal/mol of atoms. The value obtained for the size of the total moment is 0.00 μB/cell. As for the energy above the most stable polymorph in this dataset: 0.000 eV per atom.

Cell and atoms, written as Quantum ESPRESSO input:
```
&SYSTEM
  ibrav = 0, nat = 6, ntyp = 3
/
ATOMIC_SPECIES
Sm 150.36 Sm.upf
Tl 204.38 Tl.upf
I 126.90 I.upf
ATOMIC_POSITIONS angstrom
Sm -0.001 0.000 2.159
Sm 5.356 0.000 9.731
Tl 2.690 0.000 0.605
Tl 2.665 0.000 11.285
I -0.026 0.000 7.859
I 5.382 0.000 4.031
CELL_PARAMETERS angstrom
4.036 -2.331 0.000
4.036 2.331 0.000
-2.717 0.000 11.890
```

---

VASP calculation (PBE-GGA) on an optimized crystal structure of K3RhCl7. Values from VASP.

Computed properties:
The density of states at the Fermi level comes out at 7.53 states/eV/cell. For the volume, the calculation gives 29.93 A^3/atom. The space group is No. 8. As for the energy relative to the elements, uncorrected: -28.93 kcal/mol of atoms. The value obtained for the size of the total moment is 1.11 μB/cell.

Cell and atoms, written as Quantum ESPRESSO input:
```
&SYSTEM
  ibrav = 0, nat = 11, ntyp = 3
/
ATOMIC_SPECIES
K 39.10 K.upf
Rh 102.91 Rh.upf
Cl 35.45 Cl.upf
ATOMIC_POSITIONS angstrom
K 0.000 0.000 0.000
K 3.370 2.175 3.334
K 3.370 -2.175 3.334
Rh 2.737 0.000 7.106
Cl 0.230 0.000 3.090
Cl 1.645 1.685 5.931
Cl 3.011 0.000 1.135
Cl 5.877 1.644 0.887
Cl 1.645 -1.685 5.931
Cl 4.497 0.000 5.463
Cl 5.877 -1.644 0.887
CELL_PARAMETERS angstrom
4.490 -4.882 0.000
4.490 4.882 0.000
-2.041 0.000 7.508
```

---

VASP calculation (PBE-GGA) on an optimized crystal structure of KAcInPb. Values from VASP.

Computed properties:
The density of states at the Fermi level comes out at 3.16 states/eV/cell. As for the formation energy from the elements: -0.212 eV/atom. For the volume, the calculation gives 35.68 A^3/atom. The space group is No. 216. The value obtained for the size of the total moment is 0.00 μB/cell.

Cell and atoms, written as Quantum ESPRESSO input:
```
&SYSTEM
  ibrav = 0, nat = 4, ntyp = 4
/
ATOMIC_SPECIES
K 39.10 K.upf
Ac 227.00 Ac.upf
In 114.82 In.upf
Pb 207.20 Pb.upf
ATOMIC_POSITIONS angstrom
K 0.000 0.000 0.000
Ac 4.148 4.148 4.148
In 2.074 2.074 2.074
Pb 6.222 6.222 6.222
CELL_PARAMETERS angstrom
0.000 4.148 4.148
4.148 0.000 4.148
4.148 4.148 0.000
```

---

VASP calculation (PBE-GGA) on an optimized crystal structure of BeAgHPd2. Values from VASP.

Computed properties:
The density of states at the Fermi level comes out at 1.34 states/eV/cell. As for the calculated total energy: -20.50 eV per cell. For the volume, the calculation gives 12.05 A^3/atom. The space group is No. 123. The value obtained for the size of the total moment is 0.00 μB/cell.

Cell and atoms, written as Quantum ESPRESSO input:
```
&SYSTEM
  ibrav = 0, nat = 5, ntyp = 4
/
ATOMIC_SPECIES
Be 9.01 Be.upf
Ag 107.87 Ag.upf
H 1.01 H.upf
Pd 106.42 Pd.upf
ATOMIC_POSITIONS angstrom
Be 0.000 0.000 0.000
Ag 1.988 1.988 0.000
H 0.000 0.000 1.906
Pd 0.000 1.988 1.906
Pd 1.988 0.000 1.906
CELL_PARAMETERS angstrom
3.976 0.000 0.000
0.000 3.976 0.000
0.000 0.000 3.812
```

---

VASP calculation (PBE-GGA) on an optimized crystal structure of Sr2PrErS4. Values from VASP.

Computed properties:
The density of states at the Fermi level comes out at 3.50 states/eV/cell. For the volume, the calculation gives 24.70 A^3/atom. The space group is No. 10. As for the energy relative to the elements, uncorrected: -46.71 kcal/mol of atoms. The value obtained for the size of the total moment is 0.00 μB/cell.

Cell and atoms, written as Quantum ESPRESSO input:
```
&SYSTEM
  ibrav = 0, nat = 8, ntyp = 4
/
ATOMIC_SPECIES
Sr 87.62 Sr.upf
Pr 140.91 Pr.upf
Er 167.26 Er.upf
S 32.06 S.upf
ATOMIC_POSITIONS angstrom
Sr 0.000 0.000 0.000
Sr 3.544 2.041 0.000
Pr -1.173 2.041 3.415
Er 2.371 0.000 3.415
S 0.092 0.000 5.036
S 1.258 2.041 1.843
S 3.484 2.041 4.987
S 4.650 0.000 1.794
CELL_PARAMETERS angstrom
7.089 0.000 0.000
0.000 4.082 0.000
-2.346 0.000 6.830
```

---

VASP calculation (PBE-GGA) on an optimized crystal structure of BaPa2CrSe8. Values from VASP.

Computed properties:
The density of states at the Fermi level comes out at 3.37 states/eV/cell. For the volume, the calculation gives 29.65 A^3/atom. The space group is No. 10. As for the energy relative to the elements, uncorrected: -24.03 kcal/mol of atoms. The value obtained for the size of the total moment is 2.15 μB/cell.

Cell and atoms, written as Quantum ESPRESSO input:
```
&SYSTEM
  ibrav = 0, nat = 12, ntyp = 4
/
ATOMIC_SPECIES
Ba 137.33 Ba.upf
Pa 231.04 Pa.upf
Cr 52.00 Cr.upf
Se 78.96 Se.upf
ATOMIC_POSITIONS angstrom
Ba 0.000 0.000 0.000
Pa 2.901 2.224 3.272
Pa 2.901 6.506 3.272
Cr 0.000 4.365 0.000
Se 1.122 4.365 4.250
Se 1.518 2.670 1.010
Se 1.518 6.060 1.010
Se 1.377 0.000 3.959
Se 4.425 0.000 2.586
Se 4.285 2.670 5.534
Se 4.285 6.060 5.534
Se 4.680 4.365 2.294
CELL_PARAMETERS angstrom
6.228 0.000 0.000
0.000 8.730 0.000
-0.426 0.000 6.544
```

---

VASP calculation (PBE-GGA) on an optimized crystal structure of Pu6CdPd8. Values from VASP.

Computed properties:
The density of states at the Fermi level comes out at 55.65 states/eV/cell. As for the formation energy from the elements: -0.290 eV/atom. For the volume, the calculation gives 21.21 A^3/atom. The space group is No. 148. The value obtained for the size of the total moment is 33.54 μB/cell.

Cell and atoms, written as Quantum ESPRESSO input:
```
&SYSTEM
  ibrav = 0, nat = 15, ntyp = 3
/
ATOMIC_SPECIES
Pu 244.00 Pu.upf
Cd 112.41 Cd.upf
Pd 106.42 Pd.upf
ATOMIC_POSITIONS angstrom
Pu -1.090 -1.655 6.524
Pu -1.979 0.116 9.734
Pu -0.889 1.772 6.524
Pu 0.889 -1.772 9.734
Pu 1.979 -0.116 6.524
Pu 1.090 1.655 9.734
Cd 0.000 0.000 0.000
Pd -3.292 0.364 7.114
Pd -1.961 -2.669 9.143
Pd 0.000 0.000 3.978
Pd 1.331 -3.033 7.114
Pd -1.331 3.033 9.143
Pd 0.000 0.000 12.280
Pd 1.961 2.669 7.114
Pd 3.292 -0.364 9.143
CELL_PARAMETERS angstrom
4.117 2.377 5.419
-4.117 2.377 5.419
0.000 -4.754 5.419
```

---

VASP calculation (PBE-GGA) on an optimized crystal structure of YSeBr2. Values from VASP.

Computed properties:
The density of states at the Fermi level comes out at 1.32 states/eV/cell. For the volume, the calculation gives 26.81 A^3/atom. The space group is No. 10. As for the energy relative to the elements, uncorrected: -21.61 kcal/mol of atoms. The value obtained for the size of the total moment is 0.00 μB/cell. As for the energy above the most stable polymorph in this dataset: 0.429 eV per atom.

Cell and atoms, written as Quantum ESPRESSO input:
```
&SYSTEM
  ibrav = 0, nat = 4, ntyp = 3
/
ATOMIC_SPECIES
Y 88.91 Y.upf
Se 78.96 Se.upf
Br 79.90 Br.upf
ATOMIC_POSITIONS angstrom
Y 0.000 0.000 0.000
Se 2.313 2.306 0.000
Br -1.032 2.306 2.513
Br 1.282 0.000 2.513
CELL_PARAMETERS angstrom
4.627 0.000 0.000
0.000 4.612 0.000
-2.064 0.000 5.026
```

---

VASP calculation (PBE-GGA) on an optimized crystal structure of TeSe2. Values from VASP.

Computed properties:
For the volume, the calculation gives 29.77 A^3/atom. The space group is No. 5. As for the energy relative to the elements, uncorrected: -0.24 kcal/mol of atoms. The value obtained for the size of the total moment is 0.00 μB/cell. As for the energy above the most stable polymorph in this dataset: 0.005 eV per atom.

Cell and atoms, written as Quantum ESPRESSO input:
```
&SYSTEM
  ibrav = 0, nat = 3, ntyp = 2
/
ATOMIC_SPECIES
Te 127.60 Te.upf
Se 78.96 Se.upf
ATOMIC_POSITIONS angstrom
Te 0.000 0.000 0.000
Se 2.924 -0.471 1.817
Se 4.658 -0.471 3.568
CELL_PARAMETERS angstrom
3.877 -2.138 0.000
3.877 2.138 0.000
-0.172 0.000 5.385
```

---

Look up the size of the total moment of the twelfth one. 0.00 μB/cell

---

Among the records above, which one has the lowest volume? BeAgHPd2